VASP calculation (GGA-PBEsol) on TaSnPO2 after structural relaxation.

abc: 3.836 3.836 5.428
angles: 90.00 90.00 90.00
Element x y z (fractional)
1 Ta 0.000 0.000 0.000
2 Sn 0.500 0.500 0.500
3 P 0.500 0.500 0.000
4 O 0.000 0.500 0.500
5 O 0.500 0.000 0.500

Total magnetic moment (μB/f.u.): 1.54
Crystal system: tetragonal
Theoretical density (g/cm³): 7.54
Energy (eV/cell): -33.31

VASP calculation (GGA-PBEsol) on Ti2SnP3O12 after structural relaxation.

abc: 8.966 8.966 8.966
angles: 57.23 57.23 57.23
Element x y z (fractional)
1 Ti 0.148 0.148 0.148
2 Ti 0.352 0.352 0.352
3 Ti 0.648 0.648 0.648
4 Ti 0.852 0.852 0.852
5 Sn 0.000 0.000 0.000
6 Sn 0.500 0.500 0.500
7 P 0.038 0.750 0.462
8 P 0.250 0.538 0.962
9 P 0.462 0.038 0.750
10 P 0.538 0.962 0.250
11 P 0.750 0.462 0.038
12 P 0.962 0.250 0.538
13 O 0.007 0.784 0.628
14 O 0.063 0.924 0.278
15 O 0.076 0.722 0.937
16 O 0.128 0.284 0.507
17 O 0.216 0.372 0.993
18 O 0.222 0.576 0.437
19 O 0.278 0.063 0.924
20 O 0.284 0.507 0.128
21 O 0.372 0.993 0.216
22 O 0.424 0.563 0.778
23 O 0.437 0.222 0.576
24 O 0.493 0.872 0.716
25 O 0.507 0.128 0.284
26 O 0.563 0.778 0.424
27 O 0.576 0.437 0.222
28 O 0.628 0.007 0.784
29 O 0.716 0.493 0.872
30 O 0.722 0.937 0.076
31 O 0.778 0.424 0.563
32 O 0.784 0.628 0.007
33 O 0.872 0.716 0.493
34 O 0.924 0.278 0.063
35 O 0.937 0.076 0.722
36 O 0.993 0.216 0.372

Total magnetic moment (μB/f.u.): 1.01
Crystal system: trigonal
Theoretical density (g/cm³): 3.48
Energy (eV/cell): -289.04

VASP calculation (GGA-PBEsol) on Ti3VSn2P6O24 after structural relaxation.

abc: 9.040 9.040 9.040
angles: 56.05 56.05 56.05
Element x y z (fractional)
1 Ti 0.000 0.000 0.000
2 Ti 0.209 0.209 0.209
3 Ti 0.507 0.507 0.507
4 V 0.703 0.703 0.703
5 Sn 0.365 0.365 0.365
6 Sn 0.839 0.839 0.839
7 P 0.106 0.818 0.388
8 P 0.319 0.604 0.894
9 P 0.388 0.106 0.818
10 P 0.604 0.894 0.319
11 P 0.818 0.388 0.106
12 P 0.894 0.319 0.604
13 O 0.079 0.263 0.440
14 O 0.086 0.843 0.218
15 O 0.150 0.793 0.904
16 O 0.153 0.976 0.354
17 O 0.218 0.086 0.843
18 O 0.263 0.440 0.079
19 O 0.271 0.623 0.434
20 O 0.347 0.576 0.724
21 O 0.354 0.153 0.976
22 O 0.434 0.271 0.623
23 O 0.440 0.079 0.263
24 O 0.499 0.601 0.876
25 O 0.567 0.919 0.811
26 O 0.576 0.724 0.347
27 O 0.601 0.876 0.499
28 O 0.623 0.434 0.271
29 O 0.724 0.347 0.576
30 O 0.793 0.904 0.150
31 O 0.811 0.567 0.919
32 O 0.843 0.218 0.086
33 O 0.876 0.499 0.601
34 O 0.904 0.150 0.793
35 O 0.919 0.811 0.567
36 O 0.976 0.354 0.153

Total magnetic moment (μB/f.u.): 3.09
Crystal system: trigonal
Theoretical density (g/cm³): 3.51
Energy (eV/cell): -288.66